Entry from Alexandria: an optimized crystal structure of BaNaLaMnO6 (PBE+U).

abc: 8.5144 8.5144 8.5144
angles: 90.00 90.00 90.00
Closest atoms and distances in Å follow each position.
Space group F-43m (No. 216)
Asymmetric unit:
Ba 0.0000 0.0000 0.0000 [4 per cell]  12 O 3.02
Na 0.0000 0.0000 0.5000 [4 per cell]  12 O 3.02
La 0.2500 0.2500 0.7500 [4 per cell]  6 O 2.35
Mn 0.2500 0.2500 0.2500 [4 per cell]  6 O 1.91
O 0.0259 0.2500 0.2500 [24 per cell]  1 Mn 1.91

Computed properties:
VASP energy = -6.455 eV per atom
Crystal system = cubic
Total magnetization = 20.104 μB per cell

Entry from Alexandria: an optimized crystal structure of BaLaNdMn3O9 (PBE+U).

abc: 5.6276 5.6276 13.5429
angles: 90.00 90.00 120.00
Closest atoms and distances in Å follow each position.
Space group P321 (No. 150)
Asymmetric unit:
Ba 0.0000 0.0000 0.0000 [1 per cell]  12 O 2.66-2.96
Ba 0.0000 0.0000 0.5000 [1 per cell]  12 O 2.68-2.94
La 0.3333 0.6667 0.3314 [2 per cell]  6 O 2.47-2.70
Nd 0.3333 0.6667 0.8310 [2 per cell]  6 O 2.43-2.66
Mn 0.0000 0.0000 0.2488 [2 per cell]  6 O 2.00
Mn 0.3333 0.6667 0.0826 [2 per cell]  6 O 1.98-2.03
Mn 0.3333 0.6667 0.5835 [2 per cell]  6 O 1.98-2.03
O 0.0000 0.4733 0.0000 [3 per cell]  2 Mn 1.98
O 0.0000 0.5232 0.5000 [3 per cell]  2 Mn 1.98
O 0.1022 0.7601 0.1725 [6 per cell]  2 Mn 2.00-2.03
O 0.1102 0.3429 0.6747 [6 per cell]  2 Mn 2.00-2.03

Computed properties:
VASP energy = -7.622 eV per atom
Crystal system = trigonal
Total magnetization = 22.000 μB per cell

Entry from Alexandria: an optimized crystal structure of BaLa3Mn4O12 (PBE+U).

abc: 5.6107 7.8342 5.6647
angles: 90.00 90.00 90.00
Closest atoms and distances in Å follow each position.
Space group Pmm2 (No. 25)
Asymmetric unit:
Ba 0.0000 0.0000 0.0000 [1 per cell]  7 O 2.63-2.84
La 0.0000 0.5000 0.0122 [1 per cell]  5 O 2.46-2.53
La 0.5000 0.0000 0.5122 [1 per cell]  5 O 2.45-2.56
La 0.5000 0.5000 0.5070 [1 per cell]  5 O 2.44-2.58
Mn 0.0000 0.2518 0.5039 [2 per cell]  6 O 1.99-2.02
Mn 0.5000 0.2517 0.0029 [2 per cell]  6 O 1.98-2.02
O 0.0000 0.0000 0.4639 [1 per cell]  2 Mn 1.99
O 0.0000 0.5000 0.5775 [1 per cell]  2 Mn 1.99
O 0.2491 0.2939 0.2524 [4 per cell]  2 Mn 2.02
O 0.2633 0.2265 0.7384 [4 per cell]  2 Mn 2.00-2.01
O 0.5000 0.0000 0.0788 [1 per cell]  2 Mn 2.02
O 0.5000 0.5000 0.9375 [1 per cell]  2 Mn 1.98

Computed properties:
Relative energy among the computed polymorphs = 0.00 eV per formula unit
Crystal system = orthorhombic
Total magnetization = 15.000 μB per cell

Entry from Alexandria: an optimized crystal structure of BaLa3Mn4O12 (PBE+U).

abc: 7.8985 7.8985 7.8985
angles: 90.00 90.00 90.00
Closest atoms and distances in Å follow each position.
Space group Im-3m (No. 229)
Asymmetric unit:
Ba 0.0000 0.0000 0.0000 [2 per cell]  12 O 2.87
La 0.0000 0.0000 0.5000 [6 per cell]  12 O 2.71-2.79
Mn 0.2500 0.2500 0.2500 [8 per cell]  6 O 1.98
O 0.0000 0.2573 0.2573 [24 per cell]  2 Mn 1.98

Computed properties:
Relative energy among the computed polymorphs = 0.40 eV per formula unit
Crystal system = cubic
Total magnetization = 30.000 μB per cell

Entry from Alexandria: an optimized crystal structure of BaLaMn2O5 (PBE+U).

abc: 4.0445 4.0445 7.9681
angles: 90.00 90.00 90.00
Closest atoms and distances in Å follow each position.
Space group P4/mmm (No. 123)
Asymmetric unit:
Ba 0.0000 0.0000 0.0000 [1 per cell]  12 O 2.86-3.17
La 0.0000 0.0000 0.5000 [1 per cell]  8 O 2.54
Mn 0.5000 0.5000 0.2581 [2 per cell]  5 O 2.06
O 0.0000 0.5000 0.3071 [4 per cell]  2 Mn 2.06
O 0.5000 0.5000 0.0000 [1 per cell]  2 Mn 2.06

Computed properties:
VASP energy = -7.575 eV per atom
Crystal system = tetragonal
Total magnetization = 9.000 μB per cell

Entry from Alexandria: an optimized crystal structure of BaLa4Mn5O15 (PBE+U).

abc: 16.7712 5.5899 6.8644
angles: 90.00 105.88 90.00
Closest atoms and distances in Å follow each position.
Space group C2/m (No. 12)
Asymmetric unit:
Ba 0.0000 0.0000 0.0000 [2 per cell]  12 O 2.79-2.97
La 0.0980 0.5000 0.4145 [4 per cell]  9 O 2.53-2.82
La 0.2021 0.0000 0.7954 [4 per cell]  11 O 2.60-2.86
Mn 0.0000 0.0000 0.5000 [2 per cell]  6 O 1.97-2.01
Mn 0.1003 0.5000 0.8995 [4 per cell]  6 O 1.98-2.00
Mn 0.2018 0.0000 0.2994 [4 per cell]  6 O 1.96-1.99
O 0.0000 0.5000 0.0000 [2 per cell]  2 Mn 1.99
O 0.0491 0.2586 0.6888 [8 per cell]  2 Mn 1.97-1.99
O 0.1042 0.0000 0.4097 [4 per cell]  2 Mn 1.98-2.01
O 0.1619 0.2533 0.0929 [8 per cell]  2 Mn 1.99-2.00
O 0.1925 0.5000 0.7710 [4 per cell]  2 Mn 1.96-1.98
O 0.2500 0.2500 0.5000 [4 per cell]  2 Mn 1.97

Computed properties:
VASP energy = -7.791 eV per atom
Crystal system = monoclinic
Total magnetization = 38.000 μB per cell